A relaxed Rb3YPu3Te8 crystal, computed with PBE-GGA.

POSCAR file:
```
Rb3YPu3Te8
1.0
-0.5101 -7.1659 -5.4647
7.4129 5.1486 0.0114
-1.3315 -6.0111 8.0070
Rb Y Pu Te
3 1 3 8
Direct
0.0000 0.0000 0.0000
0.0000 0.5000 0.0000
0.5000 0.5000 0.0000
0.0000 0.0000 0.5000
0.5000 0.0000 0.5000
0.5000 0.5000 0.5000
0.0000 0.5000 0.5000
0.2673 0.5345 0.3020
0.7327 0.4655 0.6980
0.7673 0.5346 0.3036
0.2327 0.4654 0.6964
0.7674 0.0362 0.3036
0.2326 0.9638 0.6964
0.2688 0.0362 0.3036
0.7312 0.9638 0.6964
```

Results
The space group is No. 166. As for the total energy: -6.291 eV per atom. The value obtained for the magnetic moment is 14.00 μB per formula unit.



A relaxed Rb3YPu2Te6 crystal, computed with PBE-GGA.

POSCAR file:
```
Rb3YPu2Te6
1.0
-4.7190 -4.2972 -4.7128
-0.4916 -0.7776 7.8803
-4.1313 7.8682 -0.8122
Rb Y Pu Te
3 1 2 6
Direct
0.1671 0.8329 0.5000
0.8329 0.1671 0.5000
0.5000 0.5000 0.5000
0.0000 0.0000 0.0000
0.3333 0.6667 0.0000
0.6667 0.3333 0.0000
0.9334 0.6027 0.8004
0.7358 0.7358 0.1996
0.0666 0.3973 0.1996
0.6027 0.9334 0.8004
0.2642 0.2642 0.8004
0.3973 0.0666 0.1996
```

Results
The space group is No. 12. As for the total energy: -5.935 eV per atom. The value obtained for the magnetic moment is 10.00 μB per formula unit.



A relaxed Rb3Pu3ZnTe8 crystal, computed with PBE-GGA.

POSCAR file:
```
Rb3Pu3ZnTe8
1.0
-7.3770 1.7045 6.7040
4.4650 -6.1436 -1.1876
6.0728 3.2954 5.8446
Rb Pu Zn Te
3 3 1 8
Direct
0.0000 0.0000 0.0000
0.0000 0.5000 0.0000
0.5000 0.5000 0.0000
0.5000 0.0000 0.5000
0.5000 0.5000 0.5000
0.0000 0.5000 0.5000
0.0000 0.0000 0.5000
0.2805 0.5608 0.2904
0.7195 0.4392 0.7096
0.7194 0.4390 0.2906
0.2806 0.5610 0.7094
0.2221 0.9999 0.3092
0.7779 0.0001 0.6908
0.7778 0.9999 0.3092
0.2222 0.0001 0.6908
```

Results
The space group is No. 2. As for the total energy: -5.591 eV per atom. The value obtained for the magnetic moment is 14.23 μB per formula unit.



A relaxed RbPuZnTe3 crystal, computed with PBE-GGA.

POSCAR file:
```
RbPuZnTe3
1.0
4.4747 0.0000 0.0000
0.0000 9.9629 -0.4517
0.0000 -3.0896 10.2793
Rb Pu Zn Te
2 2 2 6
Direct
0.2500 0.2165 0.2444
0.7500 0.7835 0.7556
0.2500 0.6764 0.1427
0.7500 0.3236 0.8573
0.2500 0.0856 0.6104
0.7500 0.9144 0.3896
0.7500 0.8954 0.1381
0.2500 0.1046 0.8619
0.2500 0.7987 0.4630
0.7500 0.2013 0.5370
0.7500 0.4688 0.1613
0.2500 0.5312 0.8387
```

Results
The space group is No. 11. As for the total energy: -5.208 eV per atom. The value obtained for the magnetic moment is 5.00 μB per formula unit.



A relaxed Rb4Pu3ZrTe8 crystal, computed with PBE-GGA.

POSCAR file:
```
Rb4Pu3ZrTe8
1.0
-7.7730 -7.7487 -0.4941
5.3636 -5.0842 -4.6458
5.8048 1.6538 4.8922
Rb Pu Zr Te
4 3 1 8
Direct
0.5000 0.0000 0.0000
0.5000 0.0000 0.5000
0.0000 0.0000 0.0000
0.0000 0.0000 0.5000
0.5000 0.5000 0.0000
0.5000 0.5000 0.5000
0.0000 0.5000 0.5000
0.0000 0.5000 0.0000
0.7560 0.7018 0.0000
0.2441 0.7018 0.4882
0.2441 0.2982 0.4882
0.2440 0.7018 0.0000
0.7560 0.2982 0.0000
0.7559 0.7018 0.5118
0.7559 0.2982 0.5118
0.2440 0.2982 0.0000
```

Results
The space group is No. 123. As for the total energy: -5.962 eV per atom. The value obtained for the magnetic moment is 5.75 μB per formula unit.



A relaxed Rb3Pu3ZrTe8 crystal, computed with PBE-GGA.

POSCAR file:
```
Rb3Pu3ZrTe8
1.0
-1.6716 -6.8818 -5.4283
7.6268 4.5664 -0.8056
-0.6932 -6.1595 8.0232
Rb Pu Zr Te
3 3 1 8
Direct
0.0000 0.0000 0.0000
0.0000 0.5000 0.0000
0.5000 0.5000 0.0000
0.5000 0.0000 0.5000
0.5000 0.5000 0.5000
0.0000 0.5000 0.5000
0.0000 0.0000 0.5000
0.2664 0.5328 0.2992
0.7336 0.4672 0.7008
0.7773 0.5546 0.3077
0.2227 0.4454 0.6923
0.7773 0.0303 0.3077
0.2227 0.9697 0.6923
0.2530 0.0303 0.3077
0.7470 0.9697 0.6923
```

Results
The space group is No. 166. As for the total energy: -6.353 eV per atom. The value obtained for the magnetic moment is 15.00 μB per formula unit.